No. 1
DFT (PBE) results for a geometry-optimized LaZnOs structure.

Structure (POSCAR):
```
LaZnOs
1.0
5.800 -2.241 0.000
5.800 2.241 0.000
-1.560 0.000 5.265
La Zn Os
2 2 2
Cartesian
0.832 0.000 1.663
9.209 0.000 3.602
4.323 0.000 1.433
5.718 0.000 3.831
1.027 0.000 4.744
9.014 0.000 0.521
```

Properties
DFT formation energy: -0.150 eV/atom
N(E_F): 4.960 states/eV per cell
energy: -35.76 eV per cell
space-group type: No. 12
total magnetic moment: 0.000 μB per atom

---

No. 2
DFT (PBE) results for a geometry-optimized LaZn11Os structure.

Structure (POSCAR):
```
LaZn11Os
1.0
2.570 -6.524 0.000
2.570 6.524 0.000
-2.514 0.000 6.354
La Zn Os
1 11 1
Cartesian
0.000 0.000 0.000
1.285 3.262 0.000
0.143 4.246 4.060
0.013 1.486 4.923
2.483 4.246 2.294
0.013 -1.486 4.923
1.285 -3.262 0.000
1.313 0.000 3.177
2.613 1.486 1.431
0.143 -4.246 4.060
2.613 -1.486 1.431
2.483 -4.246 2.294
-1.257 0.000 3.177
```

Properties
DFT formation energy: -0.143 eV/atom
N(E_F): 4.933 states/eV per cell
energy: -32.04 eV per cell
space-group type: No. 12
total magnetic moment: 0.000 μB per atom

---

No. 3
DFT (PBE) results for a geometry-optimized LaZrOs2 structure.

Structure (POSCAR):
```
LaZrOs2
1.0
2.911 0.000 0.000
0.000 3.788 0.000
0.000 0.000 7.874
La Zr Os
1 1 2
Cartesian
0.000 0.000 0.000
1.455 1.894 5.012
0.000 0.000 3.288
1.455 1.894 2.265
```

Properties
DFT formation energy: 0.208 eV/atom
N(E_F): 4.572 states/eV per cell
energy: -35.10 eV per cell
space-group type: No. 25
total magnetic moment: 0.000 μB per atom

---

| no. | volume (Å³ per atom) |
| --- | --- |
| 1 | 22.8 |
| 2 | 16.4 |
| 3 | 21.7 |